Computed, not measured: a relaxed Mg3GaPd crystal at the PBE level of DFT.

Cell lengths 4.921, 4.921, 4.921 Å; angles 90.00, 90.00, 90.00 degrees
Fractional coordinates of all 5 atoms:
Mg 0.500 0.000 0.000
Mg 0.000 0.000 0.500
Mg 0.000 0.500 0.000
Pd 0.500 0.500 0.500
Ga 0.000 0.000 0.000

SG = Pm-3m (221)
mass density = 3.47 g/cm3
DFT formation energy = 0.264 eV per atom
energy = -0.0859 Ha/atom
distance to the lowest polymorph of the same formula = 0.6562 eV per atom


Computed, not measured: a relaxed Dy2ScRh crystal at the PBE level of DFT.

Cell lengths 4.808, 3.385, 8.372 Å; angles 90.00, 90.00, 45.30 degrees
Fractional coordinates of all 4 atoms:
Rh 0.878 0.999 0.010
Sc 0.378 0.999 0.840
Dy 0.878 0.999 0.543
Dy 0.378 0.999 0.219

SG = Pmm2 (25)
mass density = 8.11 g/cm3
DFT formation energy = -0.419 eV per atom
energy = -0.2257 Ha/atom
distance to the lowest polymorph of the same formula = 0.0000 eV per atom


Computed, not measured: a relaxed DyHo2Tm4Th crystal at the PBE level of DFT.

Cell lengths 4.998, 4.992, 11.057 Å; angles 63.21, 90.00, 90.00 degrees
Fractional coordinates of all 8 atoms:
Th 0.000 0.500 0.500
Tm 0.500 0.748 0.252
Tm 0.500 0.252 0.748
Tm 0.000 0.751 0.749
Tm 0.000 0.249 0.251
Ho 0.000 0.000 0.000
Ho 0.500 0.000 0.500
Dy 0.500 0.500 0.000

SG = P2/m (10)
mass density = 9.44 g/cm3
DFT formation energy = 0.031 eV per atom
energy = -0.1783 Ha/atom


Computed, not measured: a relaxed BaCrNi2 crystal at the PBE level of DFT.

Cell lengths 3.180, 3.180, 7.207 Å; angles 90.00, 90.00, 90.00 degrees
Fractional coordinates of all 4 atoms:
Ni 0.000 0.000 0.917
Ni 0.000 0.000 0.583
Ba 0.500 0.500 0.250
Cr 0.500 0.500 0.750

SG = P4/mmm (123)
mass density = 6.99 g/cm3
DFT formation energy = 0.426 eV per atom
energy = -0.1967 Ha/atom
distance to the lowest polymorph of the same formula = 0.2262 eV per atom


Computed, not measured: a relaxed ReSi2Os crystal at the PBE level of DFT.

Cell lengths 4.864, 4.864, 4.864 Å; angles 145.12, 118.91, 72.31 degrees
Fractional coordinates of all 4 atoms:
Re 0.250 0.750 0.500
Os 0.750 0.250 0.500
Si 0.502 0.502 0.000
Si 0.998 0.998 0.000

SG = Immm (71)
mass density = 12.69 g/cm3
uncorrected formation energy = 140 meV/atom
energy = -0.3121 Ha/atom


Computed, not measured: a relaxed NaMgI2N crystal at the PBE level of DFT.

Cell lengths 5.952, 4.177, 5.952 Å; angles 90.00, 90.00, 90.00 degrees
Fractional coordinates of all 5 atoms:
N 0.000 0.500 0.000
Na 0.500 0.500 0.500
I 0.000 0.000 0.500
I 0.500 0.000 0.000
Mg 0.000 0.000 0.000

SG = P4/mmm (123)
mass density = 3.54 g/cm3
uncorrected formation energy = -231 meV/atom
energy = -0.1139 Ha/atom
distance to the lowest polymorph of the same formula = 0.0000 eV per atom


Computed, not measured: a relaxed Mg2InCu crystal at the PBE level of DFT.

Cell lengths 5.969, 5.969, 5.969 Å; angles 148.77, 132.97, 57.54 degrees
Fractional coordinates of all 4 atoms:
Mg 0.709 0.209 0.500
Mg 0.001 0.001 0.000
Cu 0.502 0.502 0.000
In 0.289 0.789 0.500

SG = Imm2 (44)
mass density = 4.71 g/cm3
DFT formation energy = -0.026 eV per atom
energy = -0.0930 Ha/atom


Computed, not measured: a relaxed Zr3HgH2 crystal at the PBE level of DFT.

Cell lengths 3.228, 6.021, 10.384 Å; angles 96.88, 90.00, 90.00 degrees
Fractional coordinates of all 12 atoms:
Zr 0.250 0.050 0.864
Zr 0.750 0.950 0.136
Zr 0.750 0.605 0.878
Zr 0.250 0.395 0.122
Zr 0.250 0.217 0.392
Zr 0.750 0.783 0.608
H 0.750 0.044 0.335
H 0.250 0.956 0.665
H 0.250 0.403 0.925
H 0.750 0.597 0.075
Hg 0.250 0.708 0.360
Hg 0.750 0.292 0.640

SG = P2_1/m (11)
mass density = 7.89 g/cm3
energy = -0.2070 Ha/atom